Record 1
TbYGaOs | PBE | relaxed

a b c (Å): 4.943 4.943 4.943
angles (deg): 60.00 60.00 60.00
Fractional coordinates of all 4 atoms:
Ga 0.000 0.000 0.000
Y 0.750 0.750 0.750
Tb 0.250 0.250 0.250
Os 0.500 0.500 0.500

Summary:
size of the total moment = 0.0 μB/cell
DOS at the Fermi energy = 2.593 states/eV/f.u.
formation enthalpy at 0 K = -33.1 kJ per mole of atoms



Record 2
CsHoCu2Cl8 | PBE | relaxed

a b c (Å): 6.182 6.182 10.596
angles (deg): 89.67 89.67 74.66
Fractional coordinates of all 12 atoms:
Cl 0.339 0.339 0.595
Cl 0.269 0.269 0.990
Cu 0.631 0.631 0.202
Cl 0.731 0.731 0.010
Cl 0.661 0.661 0.405
Cu 0.369 0.369 0.798
Ho 0.000 0.000 0.000
Cl 0.757 0.218 0.811
Cl 0.218 0.757 0.811
Cl 0.782 0.243 0.189
Cl 0.243 0.782 0.189
Cs 0.000 0.000 0.500

Summary:
size of the total moment = 2.1 μB/cell
formation energy (no corrections) = -15.58 eV/f.u.
DOS at the Fermi energy = 4.720 states/eV/f.u.



Record 3
Pm3YEr2Se6 | PBE | relaxed

a b c (Å): 4.088 8.338 9.263
angles (deg): 104.31 102.75 90.00
Fractional coordinates of all 12 atoms:
Pm 0.165 0.833 0.331
Er 0.834 0.668 0.668
Y 0.500 0.000 0.000
Er 0.166 0.332 0.332
Se 0.665 0.093 0.330
Pm 0.500 0.500 0.000
Se 0.004 0.245 0.008
Se 0.996 0.755 0.992
Pm 0.835 0.167 0.669
Se 0.335 0.907 0.670
Se 0.670 0.575 0.340
Se 0.330 0.425 0.660

Summary:
size of the total moment = 0.0 μB/cell
formation energy (no corrections) = -21.38 eV/f.u.
DOS at the Fermi energy = 5.309 states/eV/f.u.



Record 4
LiHo2Sc3Se6 | PBE | relaxed

a b c (Å): 6.809 6.809 6.848
angles (deg): 99.58 99.58 120.05
Fractional coordinates of all 12 atoms:
Ho 0.665 0.335 0.000
Se 0.410 0.086 0.258
Li 0.000 0.000 0.000
Sc 0.833 0.167 0.500
Se 0.237 0.237 0.745
Se 0.914 0.590 0.742
Se 0.086 0.410 0.258
Ho 0.335 0.665 0.000
Se 0.763 0.763 0.255
Se 0.590 0.914 0.742
Sc 0.500 0.500 0.500
Sc 0.167 0.833 0.500

Summary:
size of the total moment = 0.0 μB/cell
formation energy (no corrections) = -19.93 eV/f.u.
DOS at the Fermi energy = 6.112 states/eV/f.u.



Record 5
HgW | PBE | relaxed

a b c (Å): 8.991 8.991 2.703
angles (deg): 90.00 90.00 90.00
Fractional coordinates of all 8 atoms:
Hg 0.204 0.796 0.500
W 0.403 0.597 0.000
Hg 0.296 0.296 0.000
W 0.597 0.403 0.000
W 0.097 0.097 0.500
Hg 0.704 0.704 0.000
W 0.903 0.903 0.500
Hg 0.796 0.204 0.500

Summary:
size of the total moment = 0.0 μB/cell
DOS at the Fermi energy = 0.995 states/eV/f.u.
distance to the lowest polymorph of the same formula = 155 kJ/mol of formula units
formation enthalpy at 0 K = 126.2 kJ per mole of atoms



Record 6
LuVNi4 | PBE | relaxed

a b c (Å): 4.859 4.859 4.859
angles (deg): 60.00 60.00 60.00
Fractional coordinates of all 6 atoms:
V 0.250 0.250 0.250
Ni 0.128 0.624 0.624
Ni 0.624 0.128 0.624
Lu 0.000 0.000 0.000
Ni 0.624 0.624 0.624
Ni 0.624 0.624 0.128

Summary:
size of the total moment = 2.3 μB/cell
DOS at the Fermi energy = 9.283 states/eV/f.u.
formation enthalpy at 0 K = -22.2 kJ per mole of atoms